Record 1
4
Lattice="-2.132 2.132 4.225 2.132 -2.132 4.225 2.132 2.132 -4.225" Properties=species:S:1:pos:R:3 comment="LaMgFe2 | the Alexandria database | PBE | optimized geometry" sg=I-4m2 density_g_cm3=5.9 delta_e_f_ev_per_atom=0.45 pbc="T T T"
La 0.000 0.000 0.000
Mg 2.132 0.000 2.113
Fe 0.000 0.000 4.225
Fe 0.000 2.132 2.113

---

Record 2
29
Lattice="5.736 -7.482 0.000 5.736 7.482 0.000 -5.499 0.000 7.459" Properties=species:S:1:pos:R:3 comment="Mg17AlCd11 | the Alexandria database | PBE | optimized geometry" sg=Cm density_g_cm3=4.3 delta_e_f_ev_per_atom=-0.06 pbc="T T T"
Mg 0.000 0.000 0.000
Mg 3.716 5.084 0.755
Mg 3.130 0.000 0.262
Mg 6.898 4.482 0.139
Mg -0.173 0.000 5.242
Mg 3.875 2.300 2.189
Mg 1.916 2.576 5.245
Mg 7.021 3.030 2.870
Mg 3.875 -2.300 2.189
Mg 5.014 2.136 5.269
Mg 1.916 -2.576 5.245
Mg 3.716 -5.084 0.755
Mg 6.006 0.000 3.082
Mg 6.898 -4.482 0.139
Mg 5.014 -2.136 5.269
Mg 9.200 0.000 2.662
Mg 7.021 -3.030 2.870
Al 3.186 0.000 6.739
Cd 2.109 6.050 5.211
Cd -1.296 2.692 6.650
Cd 0.893 1.452 2.556
Cd 4.316 4.702 3.718
Cd 0.893 -1.452 2.556
Cd -1.296 -2.692 6.650
Cd 6.508 1.463 0.473
Cd 3.160 0.000 3.957
Cd 6.508 -1.463 0.473
Cd 2.109 -6.050 5.211
Cd 4.316 -4.702 3.718

---

Record 3
20
Lattice="10.117 0.000 0.000 0.000 10.117 0.000 0.000 0.000 3.566" Properties=species:S:1:pos:R:3 comment="Ca2Al2AgPd5 | the Alexandria database | PBE | optimized geometry" sg=P4/mbm density_g_cm3=7.0 delta_e_f_ev_per_atom=-0.65 pbc="T T T"
Ca 1.777 3.281 0.000
Ca 3.281 8.340 0.000
Ca 6.836 1.777 0.000
Ca 8.340 6.836 0.000
Al 1.255 6.314 0.000
Al 3.803 1.255 0.000
Al 6.314 8.862 0.000
Al 8.862 3.803 0.000
Ag 0.000 0.000 0.000
Ag 5.059 5.059 0.000
Pd 0.000 5.059 1.783
Pd 0.682 7.999 1.783
Pd 2.118 0.682 1.783
Pd 2.940 5.740 1.783
Pd 4.377 2.940 1.783
Pd 5.059 0.000 1.783
Pd 5.740 7.177 1.783
Pd 7.177 4.377 1.783
Pd 7.999 9.435 1.783
Pd 9.435 2.118 1.783

---

Record 4
4
Lattice="3.207 0.000 0.000 0.000 3.237 0.000 0.000 0.000 5.287" Properties=species:S:1:pos:R:3 comment="Mn2CuAs | the Alexandria database | PBE | optimized geometry" sg=Pmmm density_g_cm3=7.5 delta_e_f_ev_per_atom=0.08 pbc="T T T"
Mn 0.000 0.000 1.310
Mn 0.000 0.000 3.977
Cu 1.603 1.619 2.644
As 1.603 1.619 0.000

---

Record 5
12
Lattice="7.171 0.000 0.000 0.000 8.714 0.000 -0.606 0.000 7.455" Properties=species:S:1:pos:R:3 comment="K2SnSbBr8 | the Alexandria database | PBE | optimized geometry" formation_energy_uncorrected_ev_per_atom=-0.9506 sg=P2/m density_g_cm3=3.4 pbc="T T T"
K 0.000 2.170 0.000
K 0.000 6.544 0.000
Sn 3.282 4.357 3.728
Sb 3.282 0.000 3.728
Br 1.580 2.173 4.610
Br 1.580 6.541 4.610
Br 2.001 0.000 1.268
Br 2.022 4.357 1.296
Br 4.542 4.357 6.159
Br 4.563 0.000 6.187
Br 4.984 2.173 2.845
Br 4.984 6.541 2.845

---

Record 6
5
Lattice="5.130 0.000 0.000 0.000 5.130 0.000 0.000 0.000 5.130" Properties=species:S:1:pos:R:3 comment="Y3GaS | the Alexandria database | PBE | optimized geometry" formation_energy_uncorrected_ev_per_atom=-0.8003 sg=Pm-3m e_above_lowest_polymorph_mev_per_atom=245.3 density_g_cm3=4.5 pbc="T T T"
Y 0.000 0.000 2.565
Y 0.000 2.565 0.000
Y 2.565 0.000 0.000
Ga 2.565 2.565 2.565
S 0.000 0.000 0.000

---

Record 7
11
Lattice="4.154 -8.010 0.000 4.154 8.010 0.000 -3.488 0.000 4.183" Properties=species:S:1:pos:R:3 comment="Ca2SmCd8 | the Alexandria database | PBE | optimized geometry" sg=C2/m density_g_cm3=6.7 delta_e_f_ev_per_atom=-0.25 pbc="T T T"
Ca 4.154 4.995 0.000
Ca 4.154 -4.995 0.000
Sm 2.410 0.000 2.091
Cd -2.589 0.000 3.181
Cd -0.408 2.052 3.194
Cd 2.410 3.244 2.091
Cd -0.408 -2.052 3.194
Cd 5.227 2.052 0.989
Cd 2.410 -3.244 2.091
Cd 5.227 -2.052 0.989
Cd 7.408 0.000 1.002

---

Record 8
26
Lattice="11.185 -6.527 0.000 11.185 6.527 0.000 -0.719 0.000 9.667" Properties=species:S:1:pos:R:3 comment="I3Br9Cl | the Alexandria database | PBE | optimized geometry" formation_energy_uncorrected_ev_per_atom=0.0114 sg=Cc density_g_cm3=2.7 pbc="T T T"
I 10.825 6.288 4.833
I 7.878 2.930 6.279
I 14.691 1.850 3.716
I 8.238 -2.930 1.446
I 14.331 -1.850 8.549
I 11.185 -6.288 0.000
Br 5.709 2.395 4.438
Br 9.437 3.720 4.104
Br 6.512 2.046 8.322
Br 12.039 4.504 0.978
Br 12.421 4.918 6.491
Br 12.685 1.787 2.033
Br 5.349 -2.395 9.272
Br 6.872 -2.046 3.489
Br 16.761 1.876 5.627
Br 12.326 -1.787 6.867
Br 15.675 0.093 7.093
Br 9.077 -3.720 8.938
Br 16.035 -0.093 2.259
Br 20.154 1.090 3.374
Br 11.680 -4.504 5.811
Br 17.120 -1.876 0.793
Br 12.781 -4.918 1.657
Br 19.794 -1.090 8.208
Cl 4.164 1.529 2.998
Cl 3.804 -1.529 7.831

---

Record 9
16
Lattice="-4.070 4.070 6.564 4.070 -4.070 6.564 4.070 4.070 -6.564" Properties=species:S:1:pos:R:3 comment="Ho5Ag2Bi | the Alexandria database | PBE | optimized geometry" sg=I4/mcm density_g_cm3=9.5 delta_e_f_ev_per_atom=-0.37 pbc="T T T"
Ho 0.000 0.000 0.000
Ho 5.313 1.244 -1.915
Ho 1.244 2.826 -1.915
Ho 5.313 1.244 1.915
Ho 1.244 2.826 1.915
Ho 0.000 0.000 6.564
Ho 2.826 1.244 4.649
Ho -1.244 2.826 4.649
Ho 2.826 1.244 8.479
Ho -1.244 2.826 8.479
Ag 2.963 1.107 0.000
Ag 2.963 -1.107 6.564
Ag 1.107 5.176 0.000
Ag 1.107 2.963 6.564
Bi 0.000 0.000 3.282
Bi 0.000 0.000 9.846

---

Record 10
4
Lattice="4.764 0.000 0.000 0.000 4.764 0.000 0.000 0.000 7.270" Properties=species:S:1:pos:R:3 comment="K2LaBr | the Alexandria database | PBE | optimized geometry" formation_energy_uncorrected_ev_per_atom=-0.1331 sg=P4/mmm e_above_lowest_polymorph_mev_per_atom=423.7 density_g_cm3=3.0 pbc="T T T"
K 0.000 2.382 0.000
K 2.382 0.000 0.000
La 0.000 0.000 3.635
Br 2.382 2.382 3.635

---

Record 11
6
Lattice="5.257 -1.623 0.000 5.257 1.623 0.000 -1.269 0.000 7.997" Properties=species:S:1:pos:R:3 comment="In2W | the Alexandria database | PBE | optimized geometry" sg=Cm density_g_cm3=10.1 delta_e_f_ev_per_atom=0.47 pbc="T T T"
In 0.000 0.000 0.000
In 0.124 0.000 3.511
In 2.744 0.000 1.315
In 6.249 0.000 6.257
W 3.362 0.000 5.532
W 7.859 0.000 3.778

---

Record 12
9
Lattice="7.471 -2.242 0.000 7.471 2.242 0.000 -4.670 0.000 8.039" Properties=species:S:1:pos:R:3 comment="Ac4CeIr4 | the Alexandria database | PBE | optimized geometry" sg=C2/m density_g_cm3=11.2 delta_e_f_ev_per_atom=-0.63 pbc="T T T"
Ac 0.153 0.000 2.972
Ac 4.024 0.000 1.588
Ac 6.248 0.000 6.452
Ac 10.120 0.000 5.067
Ce 7.471 0.000 0.000
Ir -3.039 0.000 7.717
Ir 0.877 0.000 6.067
Ir 9.396 0.000 1.972
Ir 13.312 0.000 0.323